## P
## ScCo2Mo2 (PBE)

Data for a relaxed ScCo2Mo2 crystal.

## Properties
**ρ**: 8044 kg/m³
**Size of the total moment**: 0.47 μB per formula unit

Cell and atoms, written as extended XYZ:
```
10
Lattice="7.2018 0.0000 0.0000 0.0000 7.2018 0.0000 0.0000 0.0000 2.8235" Properties=species:S:1:pos:R:3 pbc="T T T"
Sc 0.0000 0.0000 0.0000
Sc 3.6009 3.6009 0.0000
Co 0.8746 2.7263 0.0000
Co 2.7263 6.3271 0.0000
Co 4.4755 0.8746 0.0000
Co 6.3271 4.4755 0.0000
Mo 1.2439 4.8448 1.4118
Mo 2.3570 1.2439 1.4118
Mo 4.8448 5.9579 1.4118
Mo 5.9579 2.3570 1.4118
```



## Q
## ScCo2Mo2 (PBE)

Data for a relaxed ScCo2Mo2 crystal.

## Properties
**ρ**: 7956 kg/m³
**Size of the total moment**: 0.22 μB per formula unit

Cell and atoms, written as extended XYZ:
```
10
Lattice="7.4882 0.0000 0.0000 0.0000 7.4882 0.0000 0.0000 0.0000 2.6404" Properties=species:S:1:pos:R:3 pbc="T T T"
Sc 0.0000 0.0000 0.0000
Sc 3.7441 3.7441 0.0000
Co 1.2837 2.4604 1.3202
Co 2.4604 6.2046 1.3202
Co 5.0278 1.2837 1.3202
Co 6.2046 5.0278 1.3202
Mo 0.9268 4.6709 0.0000
Mo 2.8174 0.9268 0.0000
Mo 4.6709 6.5615 0.0000
Mo 6.5615 2.8174 0.0000
```



Stability ranking, top entry: P; the second entry is 0.9 kJ/mol of atoms less favorable.



## P
## Co2MoSe2 (PBE)

Data for a relaxed Co2MoSe2 crystal.

## Properties
**ρ**: 8358 kg/m³
**Size of the total moment**: 0.55 μB per formula unit

Cell and atoms, written as extended XYZ:
```
10
Lattice="3.4776 0.0000 0.0000 0.0000 3.4776 0.0000 0.0000 0.0000 12.2136" Properties=species:S:1:pos:R:3 pbc="T T T"
Co 0.0000 1.7388 3.0534
Co 0.0000 1.7388 9.1602
Co 1.7388 0.0000 3.0534
Co 1.7388 0.0000 9.1602
Mo 0.0000 0.0000 0.0000
Mo 1.7388 1.7388 6.1068
Se 0.0000 0.0000 4.6304
Se 0.0000 0.0000 7.5832
Se 1.7388 1.7388 1.4764
Se 1.7388 1.7388 10.7373
```



## Q
## Co2MoSe2 (PBE)

Data for a relaxed Co2MoSe2 crystal.

## Properties
**ρ**: 8822 kg/m³
**Size of the total moment**: 0.00 μB per formula unit

Cell and atoms, written as extended XYZ:
```
10
Lattice="6.7823 0.0000 0.0000 0.0000 6.7823 0.0000 0.0000 0.0000 3.0420" Properties=species:S:1:pos:R:3 pbc="T T T"
Co 0.9747 2.4164 0.0000
Co 2.4164 5.8075 0.0000
Co 4.3659 0.9747 0.0000
Co 5.8075 4.3659 0.0000
Mo 0.0000 0.0000 1.5210
Mo 3.3911 3.3911 1.5210
Se 1.0827 4.4739 1.5210
Se 2.3084 1.0827 1.5210
Se 4.4739 5.6995 1.5210
Se 5.6995 2.3084 1.5210
```



Stability ranking, top entry: Q; the second entry is 16.8 kJ/mol of atoms less favorable.



## P
## CoMo2Se (PBE)

Data for a relaxed CoMo2Se crystal.

## Properties
**ρ**: 9050 kg/m³
**Size of the total moment**: 0.16 μB per formula unit

Cell and atoms, written as extended XYZ:
```
8
Lattice="3.3460 0.0000 0.0000 0.0000 4.4877 0.0000 0.0000 0.0000 8.0594" Properties=species:S:1:pos:R:3 pbc="T T T"
Co 0.0000 0.0000 0.0000
Co 1.6730 2.2439 0.0000
Mo 0.0000 0.0000 3.9302
Mo 0.0000 2.2439 1.8107
Mo 1.6730 0.0000 1.8107
Mo 1.6730 2.2439 3.9302
Se 0.0000 2.2439 6.1925
Se 1.6730 0.0000 6.1925
```



## Q
## CoMo2Se (PBE)

Data for a relaxed CoMo2Se crystal.

## Properties
**ρ**: 9461 kg/m³
**Size of the total moment**: 0.08 μB per formula unit

Cell and atoms, written as extended XYZ:
```
8
Lattice="3.7334 0.0000 0.0000 0.0000 3.7334 0.0000 0.0000 0.0000 8.3048" Properties=species:S:1:pos:R:3 pbc="T T T"
Co 0.0000 0.0000 0.0000
Co 1.8667 1.8667 4.1524
Mo 0.0000 0.0000 4.1524
Mo 0.0000 1.8667 6.2286
Mo 1.8667 0.0000 2.0762
Mo 1.8667 1.8667 0.0000
Se 0.0000 1.8667 2.0762
Se 1.8667 0.0000 6.2286
```



## R
## CoMo2Se (PBE)

Data for a relaxed CoMo2Se crystal.

## Properties
**ρ**: 9643 kg/m³
**Size of the total moment**: 0.00 μB per formula unit

Cell and atoms, written as extended XYZ:
```
16
Lattice="6.1016 0.0000 0.0000 0.0000 6.1016 0.0000 0.0000 0.0000 6.1016" Properties=species:S:1:pos:R:3 pbc="T T T"
Co 0.0000 0.0000 0.0000
Co 0.0000 3.0508 3.0508
Co 3.0508 0.0000 3.0508
Co 3.0508 3.0508 0.0000
Mo 1.5254 1.5254 1.5254
Mo 1.5254 1.5254 4.5762
Mo 1.5254 4.5762 1.5254
Mo 1.5254 4.5762 4.5762
Mo 4.5762 1.5254 1.5254
Mo 4.5762 1.5254 4.5762
Mo 4.5762 4.5762 1.5254
Mo 4.5762 4.5762 4.5762
Se 0.0000 0.0000 3.0508
Se 0.0000 3.0508 0.0000
Se 3.0508 0.0000 0.0000
Se 3.0508 3.0508 3.0508
```



## S
## CoMo2Se (PBE)

Data for a relaxed CoMo2Se crystal.

## Properties
**ρ**: 6759 kg/m³
**Size of the total moment**: 0.00 μB per formula unit

Cell and atoms, written as extended XYZ:
```
16
Lattice="5.4672 0.0000 0.0000 0.0000 5.4672 0.0000 0.0000 0.0000 10.8414" Properties=species:S:1:pos:R:3 pbc="T T T"
Co 0.0000 0.0000 0.0000
Co 0.0000 2.7336 2.7103
Co 2.7336 0.0000 8.1310
Co 2.7336 2.7336 5.4207
Mo 1.1732 1.3668 1.3552
Mo 1.3668 3.9068 4.0655
Mo 1.3668 4.2940 9.4862
Mo 1.5604 1.3668 6.7758
Mo 3.9068 4.1004 6.7758
Mo 4.1004 1.1732 9.4862
Mo 4.1004 1.5604 4.0655
Mo 4.2940 4.1004 1.3552
Se 0.0000 0.0000 5.4207
Se 0.0000 2.7336 8.1310
Se 2.7336 0.0000 2.7103
Se 2.7336 2.7336 0.0000
```



Stability ranking, top entry: R; the second entry is 10.3 kJ/mol of atoms less favorable.



## P
## CoMo2Se (PBE)

Data for a relaxed CoMo2Se crystal.

## Properties
**ρ**: 9209 kg/m³
**Size of the total moment**: 0.58 μB per formula unit

Cell and atoms, written as extended XYZ:
```
12
Lattice="2.8966 0.0000 0.0000 -1.4483 2.5085 0.0000 0.0000 0.0000 24.5509" Properties=species:S:1:pos:R:3 pbc="T T T"
Co 0.0000 0.0000 0.0000
Co 0.0000 1.6723 16.3673
Co 1.4483 0.8362 8.1836
Mo 0.0000 0.0000 6.1641
Mo 0.0000 0.0000 18.3868
Mo 0.0000 1.6723 10.2032
Mo 0.0000 1.6723 22.5314
Mo 1.4483 0.8362 2.0195
Mo 1.4483 0.8362 14.3478
Se 0.0000 0.0000 12.2755
Se 0.0000 1.6723 4.0918
Se 1.4483 0.8362 20.4591
```



## Q
## CoMo2Se (PBE)

Data for a relaxed CoMo2Se crystal.

## Properties
**ρ**: 9318 kg/m³
**Size of the total moment**: 0.78 μB per formula unit

Cell and atoms, written as extended XYZ:
```
8
Lattice="5.1601 0.0000 0.0000 0.0000 7.7588 0.0000 0.0000 0.0000 2.9357" Properties=species:S:1:pos:R:3 pbc="T T T"
Co 0.0000 0.0000 0.0000
Co 2.5800 3.8794 0.0000
Mo 1.2900 1.9397 1.4678
Mo 1.2900 5.8191 1.4678
Mo 3.8700 1.9397 1.4678
Mo 3.8700 5.8191 1.4678
Se 0.0000 3.8794 0.0000
Se 2.5800 0.0000 0.0000
```



Stability ranking, top entry: P; the second entry is 4.3 kJ/mol of atoms less favorable.



## P
## CoMo2Se (PBE)

Data for a relaxed CoMo2Se crystal.

## Properties
**ρ**: 9490 kg/m³
**Size of the total moment**: 0.96 μB per formula unit

Cell and atoms, written as extended XYZ:
```
4
Lattice="2.9602 0.0000 0.0000 0.0000 2.9602 0.0000 0.0000 0.0000 6.5851" Properties=species:S:1:pos:R:3 pbc="T T T"
Co 0.0000 0.0000 0.0000
Mo 1.4801 1.4801 1.6189
Mo 1.4801 1.4801 4.9662
Se 0.0000 0.0000 3.2925
```



## Q
## CoMo2Se (PBE)

Data for a relaxed CoMo2Se crystal.

## Properties
**ρ**: 9614 kg/m³
**Size of the total moment**: 0.00 μB per formula unit

Cell and atoms, written as extended XYZ:
```
8
Lattice="3.0056 0.0000 0.0000 0.0000 4.3959 0.0000 0.0000 0.0000 8.6221" Properties=species:S:1:pos:R:3 pbc="T T T"
Co 0.0000 0.0000 0.0000
Co 1.5028 2.1980 4.3111
Mo 0.0000 0.0000 4.7175
Mo 0.0000 2.1980 6.5677
Mo 1.5028 0.0000 2.2566
Mo 1.5028 2.1980 0.4064
Se 0.0000 2.1980 2.5039
Se 1.5028 0.0000 6.8150
```



## R
## CoMo2Se (PBE)

Data for a relaxed CoMo2Se crystal.

## Properties
**ρ**: 9497 kg/m³
**Size of the total moment**: 0.00 μB per formula unit

Cell and atoms, written as extended XYZ:
```
8
Lattice="9.0297 0.0000 0.0000 0.0000 2.9325 0.0000 -1.3422 0.0000 4.3552" Properties=species:S:1:pos:R:3 pbc="T T T"
Co 0.0000 0.0000 0.0000
Co 4.5148 1.4663 0.0000
Mo 1.2211 0.0000 3.7915
Mo 3.6637 0.0000 2.1544
Mo 5.7360 1.4663 3.7915
Mo 8.1785 1.4663 2.1544
Se 1.6553 1.4663 1.4424
Se 6.1701 0.0000 1.4424
```



## S
## CoMo2Se (PBE)

Data for a relaxed CoMo2Se crystal.

## Properties
**ρ**: 9273 kg/m³
**Size of the total moment**: 0.69 μB per formula unit

Cell and atoms, written as extended XYZ:
```
4
Lattice="2.8963 0.0000 0.0000 0.0000 3.9440 0.0000 -1.3053 0.0000 5.1695" Properties=species:S:1:pos:R:3 pbc="T T T"
Co 0.0000 0.0000 0.0000
Mo 0.3111 1.9720 3.9223
Mo 1.2798 1.9720 1.2472
Se -0.6527 0.0000 2.5847
```



Stability ranking, top entry: P; the second entry is 1.8 kJ/mol of atoms less favorable.